1.
{"formula": "Sb5P3", "functional": "meta-GGA SCAN", "state": "PBEsol geometry", "lattice": [[4.940, 0.000, 0.000], [0.000, 6.103, 0.003], [0.000, -2.076, 5.738]], "species": ["Sb", "P", "Sb", "Sb", "P", "Sb", "Sb", "P"], "fractional_positions": [[0.500, 0.724, 0.724], [0.500, 0.265, 0.735], [0.000, 0.500, 0.000], [0.000, 0.000, 0.000], [0.000, 0.500, 0.500], [0.500, 0.276, 0.276], [0.000, 0.000, 0.500], [0.500, 0.735, 0.265]], "e_tot_ev_per_cell": -213.2, "formation_energy_uncorrected_mev_per_atom": 543, "crystal_system": "orthorhombic"}

2.
{"formula": "MnReF3", "functional": "meta-GGA SCAN", "state": "PBEsol geometry", "lattice": [[-1.581, 3.362, 1.857], [-3.510, -2.080, 0.776], [1.558, -1.274, 3.633]], "species": ["F", "F", "Re", "F", "Mn"], "fractional_positions": [[0.000, 0.500, 0.000], [0.500, 0.000, 0.000], [0.000, 0.000, 0.000], [0.000, 0.000, 0.500], [0.500, 0.500, 0.500]], "e_tot_ev_per_cell": -103.1, "formation_energy_uncorrected_mev_per_atom": -635, "crystal_system": "cubic", "e_above_lowest_polymorph_mev_per_atom": 295}

3.
{"formula": "ScAsN2Cl", "functional": "meta-GGA SCAN", "state": "PBEsol geometry", "lattice": [[4.085, 0.000, 0.000], [0.000, 4.085, 0.000], [0.000, 0.000, 4.881]], "species": ["As", "Cl", "N", "N", "Sc"], "fractional_positions": [[0.500, 0.500, 0.500], [0.000, 0.000, 0.500], [0.000, 0.500, 0.000], [0.500, 0.000, 0.000], [0.000, 0.000, 0.000]], "e_tot_ev_per_cell": -57.7, "formation_energy_uncorrected_mev_per_atom": 651, "crystal_system": "tetragonal"}

4.
{"formula": "Sc2NbHgC", "functional": "meta-GGA SCAN", "state": "PBEsol geometry", "lattice": [[-1.388, -1.728, -3.730], [-3.772, -1.240, 1.978], [-1.853, 3.875, -1.105]], "species": ["Hg", "Nb", "Sc", "Sc", "C"], "fractional_positions": [[0.500, 0.500, 0.500], [0.500, 0.000, 0.000], [0.000, 0.000, 0.500], [0.000, 0.500, 0.000], [0.000, 0.000, 0.000]], "e_tot_ev_per_cell": -142.8, "formation_enthalpy_0k_ev_per_atom": -0.58, "crystal_system": "tetragonal"}

5.
{"formula": "K2Tc", "functional": "meta-GGA SCAN", "state": "PBEsol geometry", "lattice": [[2.686, 0.000, 0.000], [0.000, 5.895, 0.000], [0.000, -2.947, 5.105]], "species": ["K", "Tc", "K"], "fractional_positions": [[0.000, 0.667, 0.333], [0.500, 0.000, 0.000], [0.000, 0.333, 0.667]], "e_tot_ev_per_cell": -47.6, "formation_enthalpy_0k_ev_per_atom": 1.39, "crystal_system": "hexagonal", "e_above_lowest_polymorph_mev_per_atom": 419}

6.
{"formula": "TaMn2Cl", "functional": "meta-GGA SCAN", "state": "PBEsol geometry", "lattice": [[2.937, 0.000, 0.000], [0.000, 3.027, 0.033], [0.000, -0.076, 7.085]], "species": ["Mn", "Cl", "Mn", "Ta"], "fractional_positions": [[0.500, 0.750, 0.745], [0.500, 0.250, 0.254], [0.000, 0.250, 0.952], [0.000, 0.250, 0.550]], "e_tot_ev_per_cell": -111.7, "formation_energy_uncorrected_mev_per_atom": -152, "crystal_system": "orthorhombic", "e_above_lowest_polymorph_mev_per_atom": 55}

7.
{"formula": "MnRe3Ni", "functional": "meta-GGA SCAN", "state": "PBEsol geometry", "lattice": [[4.351, 0.000, 0.000], [0.000, 4.351, 0.000], [0.000, 0.000, 4.351]], "species": ["Re", "Ni", "Mn", "Re", "Re"], "fractional_positions": [[0.000, 0.500, 0.000], [0.000, 0.000, 0.000], [0.500, 0.500, 0.500], [0.500, 0.000, 0.000], [0.000, 0.000, 0.500]], "e_tot_ev_per_cell": -239.3, "formation_enthalpy_0k_ev_per_atom": 1.69, "crystal_system": "cubic"}

8.
{"formula": "MgTi2AuS", "functional": "meta-GGA SCAN", "state": "PBEsol geometry", "lattice": [[4.869, 0.000, 0.000], [0.000, 4.869, 0.000], [0.000, 0.000, 4.968]], "species": ["Mg", "S", "Au", "Ti", "Ti"], "fractional_positions": [[0.500, 0.500, 0.500], [0.000, 0.000, 0.500], [0.000, 0.000, 0.000], [0.000, 0.500, 0.000], [0.500, 0.000, 0.000]], "e_tot_ev_per_cell": -112.3, "formation_energy_uncorrected_mev_per_atom": 706, "crystal_system": "tetragonal"}